# 1
First-principles (GGA-PBEsol) data for crystalline AlCdAu2 at its relaxed geometry, as listed in Alexandria.

a = 6.123 Å, b = 6.906 Å, c = 3.242 Å
α = 90.00°, β = 90.00°, γ = 90.00°
Space group Cmmm (No. 65)
Inequivalent atoms, fractional coordinates:
Al1 0.000 0.000 0.000 x2
Cd1 0.000 0.500 0.000 x2
Au1 0.250 0.250 0.500 x4

## Properties
Energy above the lowest structure with this stoichiometry, meV/atom: 73.6
Calculated formation energy, eV/atom: -0.216
Mass density, g/cm³: 12.9
Total magnetic moment, Bohr magnetons per cell: 0.00

# 2
First-principles (GGA-PBEsol) data for crystalline ZrAl2Te at its relaxed geometry, as listed in Alexandria.

a = 7.767 Å, b = 7.767 Å, c = 5.744 Å
α = 90.00°, β = 90.00°, γ = 90.00°
Space group I-42d (No. 122)
Inequivalent atoms, fractional coordinates:
Zr1 0.000 0.000 0.000 x4
Al1 0.244 0.250 0.625 x8
Te1 0.000 0.000 0.500 x4

## Properties
Electronic total energy, eV/atom: -5.13
Mass density, g/cm³: 5.2
Total magnetic moment, Bohr magnetons per cell: 0.00

# 3
First-principles (GGA-PBEsol) data for crystalline Sr2MnCrRe at its relaxed geometry, as listed in Alexandria.

a = 5.704 Å, b = 5.704 Å, c = 4.105 Å
α = 90.00°, β = 90.00°, γ = 90.00°
Space group P4/mmm (No. 123)
Inequivalent atoms, fractional coordinates:
Sr1 0.000 0.500 0.000 x2
Mn1 0.000 0.000 0.000 x1
Cr1 0.000 0.000 0.500 x1
Re1 0.500 0.500 0.500 x1

## Properties
Calculated formation energy, eV/atom: 1.768
Mass density, g/cm³: 5.8
Total magnetic moment, Bohr magnetons per cell: 3.68

# 4
First-principles (GGA-PBEsol) data for crystalline Sc2InOs at its relaxed geometry, as listed in Alexandria.

a = 3.250 Å, b = 3.250 Å, c = 7.113 Å
α = 90.00°, β = 90.00°, γ = 90.00°
Space group P4/mmm (No. 123)
Inequivalent atoms, fractional coordinates:
Sc1 0.000 0.000 0.213 x2
In1 0.500 0.500 0.500 x1
Os1 0.500 0.500 0.000 x1

## Properties
Calculated formation energy, eV/atom: -0.537
Mass density, g/cm³: 8.7
Total magnetic moment, Bohr magnetons per cell: 0.00

# 5
First-principles (GGA-PBEsol) data for crystalline I at its relaxed geometry, as listed in Alexandria.

a = 6.306 Å, b = 6.345 Å, c = 8.864 Å
α = 83.80°, β = 86.90°, γ = 81.99°
Space group P-1 (No. 2)
Inequivalent atoms, fractional coordinates:
I1 0.092 0.289 0.324 x2
I2 0.226 0.001 0.707 x2
I3 0.300 0.793 0.009 x2
I4 0.383 0.601 0.320 x2

## Properties
Energy above the lowest structure with this stoichiometry, meV/atom: 25.0
Mass density, g/cm³: 4.8
Total magnetic moment, Bohr magnetons per cell: 0.00

# 6
First-principles (GGA-PBEsol) data for crystalline BaLu2CuO5 at its relaxed geometry, as listed in Alexandria.

a = 11.891 Å, b = 5.538 Å, c = 6.955 Å
α = 90.00°, β = 90.00°, γ = 90.00°
Space group Pnma (No. 62)
Inequivalent atoms, fractional coordinates:
Ba1 0.096 0.250 0.071 x4
Lu1 0.074 0.750 0.399 x4
Lu2 0.212 0.250 0.617 x4
Cu1 0.160 0.750 0.785 x4
O1 0.067 0.503 0.661 x8
O2 0.103 0.750 0.088 x4
O3 0.227 0.001 0.361 x8

## Properties
Electronic total energy, eV/atom: -7.53
Mass density, g/cm³: 9.1
Total magnetic moment, Bohr magnetons per cell: 3.93

# 7
First-principles (GGA-PBEsol) data for crystalline CaRePbW2 at its relaxed geometry, as listed in Alexandria.

a = 4.740 Å, b = 4.740 Å, c = 5.395 Å
α = 90.00°, β = 90.00°, γ = 90.00°
Space group P4/mmm (No. 123)
Inequivalent atoms, fractional coordinates:
Ca1 0.000 0.000 0.000 x1
Re1 0.000 0.000 0.500 x1
Pb1 0.500 0.500 0.000 x1
W1 0.000 0.500 0.500 x2

## Properties
Calculated formation energy, eV/atom: 1.483
Mass density, g/cm³: 11.0
Total magnetic moment, Bohr magnetons per cell: 0.00

# 8
First-principles (GGA-PBEsol) data for crystalline CoSb2Pt at its relaxed geometry, as listed in Alexandria.

a = 6.663 Å, b = 6.663 Å, c = 6.663 Å
α = 90.00°, β = 90.00°, γ = 90.00°
Space group F-43m (No. 216)
Inequivalent atoms, fractional coordinates:
Co1 0.000 0.000 0.000 x4
Sb1 0.000 0.000 0.500 x4
Sb2 0.250 0.250 0.250 x4
Pt1 0.250 0.250 0.750 x4

## Properties
Energy above the lowest structure with this stoichiometry, meV/atom: 344.0
Mass density, g/cm³: 11.2
Total magnetic moment, Bohr magnetons per cell: 6.10

# 9
First-principles (GGA-PBEsol) data for crystalline KLiMo at its relaxed geometry, as listed in Alexandria.

a = 7.665 Å, b = 7.665 Å, c = 7.665 Å
α = 90.00°, β = 90.00°, γ = 90.00°
Space group F-43m (No. 216)
Inequivalent atoms, fractional coordinates:
K1 0.000 0.000 0.000 x4
Li1 0.000 0.000 0.500 x4
Mo1 0.250 0.250 0.250 x4

## Properties
Calculated formation energy, eV/atom: 1.914
Mass density, g/cm³: 2.1
Total magnetic moment, Bohr magnetons per cell: 19.06

# 10
First-principles (GGA-PBEsol) data for crystalline MgGa at its relaxed geometry, as listed in Alexandria.

a = 4.718 Å, b = 3.226 Å, c = 14.912 Å
α = 90.00°, β = 90.00°, γ = 90.00°
Space group Amm2 (No. 38)
Inequivalent atoms, fractional coordinates:
Mg1 0.000 0.000 0.000 x2
Mg2 0.000 0.000 0.323 x2
Mg3 0.500 0.000 0.192 x2
Ga1 0.000 0.000 0.658 x2
Ga2 0.500 0.000 0.530 x2
Ga3 0.500 0.000 0.872 x2

## Properties
Calculated formation energy, eV/atom: -0.117
Mass density, g/cm³: 4.1
Total magnetic moment, Bohr magnetons per cell: 0.00

# 11
First-principles (GGA-PBEsol) data for crystalline CaZrW at its relaxed geometry, as listed in Alexandria.

a = 6.620 Å, b = 6.620 Å, c = 6.620 Å
α = 90.00°, β = 90.00°, γ = 90.00°
Space group F-43m (No. 216)
Inequivalent atoms, fractional coordinates:
Ca1 0.000 0.000 0.000 x4
Zr1 0.000 0.000 0.500 x4
W1 0.250 0.250 0.250 x4

## Properties
Energy above the lowest structure with this stoichiometry, meV/atom: 559.9
Calculated formation energy, eV/atom: 1.258
Mass density, g/cm³: 7.2
Total magnetic moment, Bohr magnetons per cell: 0.00

# 12
First-principles (GGA-PBEsol) data for crystalline VPH4O6 at its relaxed geometry, as listed in Alexandria.

a = 5.229 Å, b = 10.003 Å, c = 9.819 Å
α = 90.00°, β = 119.57°, γ = 90.00°
Space group P2_1/c (No. 14)
Inequivalent atoms, fractional coordinates:
V1 0.120 0.176 0.214 x4
P1 0.269 0.639 0.676 x4
H1 0.087 0.038 0.747 x4
H2 0.357 0.164 0.528 x4
H3 0.372 0.559 0.296 x4
H4 0.406 0.698 0.027 x4
O1 0.061 0.668 0.743 x4
O2 0.152 0.704 0.513 x4
O3 0.154 0.559 0.255 x4
O4 0.292 0.015 0.167 x4
O5 0.400 0.151 0.440 x4
O6 0.424 0.199 0.713 x4

## Properties
Electronic total energy, eV/atom: -6.68
Mass density, g/cm³: 2.7
Total magnetic moment, Bohr magnetons per cell: 8.00

# 13
First-principles (GGA-PBEsol) data for crystalline LaScMoN2 at its relaxed geometry, as listed in Alexandria.

a = 4.082 Å, b = 4.082 Å, c = 4.881 Å
α = 90.00°, β = 90.00°, γ = 90.00°
Space group P4/mmm (No. 123)
Inequivalent atoms, fractional coordinates:
La1 0.000 0.000 0.000 x1
Sc1 0.500 0.500 0.000 x1
Mo1 0.500 0.500 0.500 x1
N1 0.000 0.500 0.500 x2

## Properties
Electronic total energy, eV/atom: -7.88
Mass density, g/cm³: 6.3
Total magnetic moment, Bohr magnetons per cell: 0.00

# 14
First-principles (GGA-PBEsol) data for crystalline SrCaHf2Zr at its relaxed geometry, as listed in Alexandria.

a = 5.263 Å, b = 5.263 Å, c = 5.184 Å
α = 90.00°, β = 90.00°, γ = 90.00°
Space group P4/mmm (No. 123)
Inequivalent atoms, fractional coordinates:
Sr1 0.000 0.000 0.000 x1
Ca1 0.500 0.500 0.500 x1
Hf1 0.000 0.500 0.500 x2
Zr1 0.500 0.500 0.000 x1

## Properties
Calculated formation energy, eV/atom: 1.497
Mass density, g/cm³: 6.7
Total magnetic moment, Bohr magnetons per cell: 0.04

# 15
First-principles (GGA-PBEsol) data for crystalline NaBe2BO3F2 at its relaxed geometry, as listed in Alexandria.

a = 12.665 Å, b = 8.700 Å, c = 7.595 Å
α = 90.00°, β = 113.52°, γ = 90.00°
Space group C2 (No. 5)
Inequivalent atoms, fractional coordinates:
Na1 0.000 0.000 0.000 x2
Na2 0.000 0.136 0.500 x2
Na3 0.000 0.398 0.000 x2
Na4 0.000 0.542 0.500 x2
Be1 0.182 0.911 0.800 x4
Be2 0.189 0.633 0.301 x4
Be3 0.216 0.380 0.805 x4
Be4 0.223 0.162 0.304 x4
B1 0.212 0.644 0.976 x4
B2 0.227 0.902 0.485 x4
O1 0.201 0.723 0.813 x4
O2 0.206 0.724 0.128 x4
O3 0.222 0.983 0.637 x4
O4 0.226 0.744 0.487 x4
O5 0.233 0.488 0.991 x4
O6 0.238 0.978 0.335 x4
F1 0.056 0.956 0.754 x4
F2 0.065 0.573 0.248 x4
F3 0.089 0.340 0.694 x4
F4 0.096 0.200 0.188 x4

## Properties
Electronic total energy, eV/atom: -6.79
Mass density, g/cm³: 2.4
Total magnetic moment, Bohr magnetons per cell: 0.00

# 16
First-principles (GGA-PBEsol) data for crystalline Ta3Os at its relaxed geometry, as listed in Alexandria.

a = 4.536 Å, b = 4.536 Å, c = 3.194 Å
α = 90.00°, β = 90.00°, γ = 90.00°
Space group P4/mmm (No. 123)
Inequivalent atoms, fractional coordinates:
Ta1 0.000 0.000 0.000 x1
Ta2 0.000 0.500 0.500 x2
Os1 0.500 0.500 0.000 x1

## Properties
Calculated formation energy, eV/atom: -0.282
Mass density, g/cm³: 18.5
Total magnetic moment, Bohr magnetons per cell: 0.00

# 17
First-principles (GGA-PBEsol) data for crystalline Mg2InGa2 at its relaxed geometry, as listed in Alexandria.

a = 8.018 Å, b = 8.018 Å, c = 3.123 Å
α = 90.00°, β = 90.00°, γ = 90.00°
Space group P4/mbm (No. 127)
Inequivalent atoms, fractional coordinates:
Mg1 0.181 0.319 0.000 x4
In1 0.000 0.000 0.500 x2
Ga1 0.116 0.616 0.500 x4

## Properties
Calculated formation energy, eV/atom: -0.108
Mass density, g/cm³: 5.0
Total magnetic moment, Bohr magnetons per cell: 0.00

# 18
First-principles (GGA-PBEsol) data for crystalline LaCu6 at its relaxed geometry, as listed in Alexandria.

a = 5.029 Å, b = 10.032 Å, c = 8.028 Å
α = 90.00°, β = 93.29°, γ = 90.00°
Space group P2_1/c (No. 14)
Inequivalent atoms, fractional coordinates:
La1 0.227 0.063 0.238 x4
Cu1 0.002 0.695 0.932 x4
Cu2 0.251 0.516 0.099 x4
Cu3 0.253 0.745 0.683 x4
Cu4 0.261 0.144 0.848 x4
Cu5 0.305 0.596 0.441 x4
Cu6 0.491 0.187 0.559 x4

## Properties
Calculated formation energy, eV/atom: -0.108
Mass density, g/cm³: 8.5
Total magnetic moment, Bohr magnetons per cell: 0.00

# 19
First-principles (GGA-PBEsol) data for crystalline YRe2As at its relaxed geometry, as listed in Alexandria.

a = 3.020 Å, b = 4.163 Å, c = 5.634 Å
α = 90.00°, β = 90.00°, γ = 90.00°
Space group Pmmm (No. 47)
Inequivalent atoms, fractional coordinates:
Y1 0.000 0.000 0.000 x1
Re1 0.500 0.500 0.291 x2
As1 0.000 0.000 0.500 x1

## Properties
Calculated formation energy, eV/atom: 0.457
Mass density, g/cm³: 12.6
Total magnetic moment, Bohr magnetons per cell: 0.00